ZrSb2W | PBE | relaxed

abc: 6.878 6.878 6.878
angles: 90.00 90.00 90.00
Sites, in units of the cell vectors:
Zr 0.000 0.000 0.000
Zr 0.000 0.500 0.500
Zr 0.500 0.000 0.500
Zr 0.500 0.500 0.000
Sb 0.250 0.250 0.250
Sb 0.250 0.250 0.750
Sb 0.250 0.750 0.250
Sb 0.250 0.750 0.750
Sb 0.750 0.250 0.250
Sb 0.750 0.250 0.750
Sb 0.750 0.750 0.250
Sb 0.750 0.750 0.750
W 0.000 0.000 0.500
W 0.000 0.500 0.000
W 0.500 0.000 0.000
W 0.500 0.500 0.500

Results
**D(E_F)**: 1.351 states/eV/f.u.
**Symmetry**: Fm-3m
**Energy above the lowest structure with this stoichiometry**: 123 meV/atom
**DFT total energy**: -7.377 eV per atom
**Raw formation energy**: 0.06 eV/atom
**Magnetic moment**: 0.000 μB/atom